Sr3Y3CuSe8 | PBE-GGA | optimized geometry

E_tot in eV per cell: -162.8
Magnetic moment in μB/f.u.: 0.00

```
data_Sr3Y3CuSe8
_chemical_formula_sum 'Sr6 Y6 Cu2 Se16'
_cell_length_a 14.4371
_cell_length_b 8.3372
_cell_length_c 8.5517
_cell_angle_alpha 90.00
_cell_angle_beta 124.24
_cell_angle_gamma 90.00
_symmetry_space_group_name_H-M 'C 1 2/m 1'
_symmetry_Int_Tables_number 12
_symmetry_space_group_name_Hall '-C 2y'
loop_
_atom_site_label
_atom_site_type_symbol
_atom_site_fract_x
_atom_site_fract_y
_atom_site_fract_z
Sr1 Sr 0.0000 0.0000 0.0000
Sr2 Sr 0.2500 0.2500 0.0000
Y1 Y 0.0000 0.5000 0.5000
Y2 Y 0.2500 0.2500 0.5000
Cu1 Cu 0.0000 0.0000 0.5000
Se1 Se 0.0093 0.2477 0.2802
Se2 Se 0.2374 0.0000 0.7188
Se3 Se 0.2435 0.5000 0.7306
```

***

ScTiB3 | PBE-GGA | optimized geometry

Energy of formation from the pure elements in eV/f.u.: 3.063
Magnetic moment in μB/f.u.: 0.00
E above lowest polymorph in kJ per mole of atoms: 137.2

```
data_ScTiB3
_chemical_formula_sum 'Sc1 Ti1 B3'
_cell_length_a 4.0467
_cell_length_b 4.0467
_cell_length_c 4.0467
_cell_angle_alpha 90.00
_cell_angle_beta 90.00
_cell_angle_gamma 90.00
_symmetry_space_group_name_H-M 'P m -3 m'
_symmetry_Int_Tables_number 221
_symmetry_space_group_name_Hall '-P 4 2 3'
loop_
_atom_site_label
_atom_site_type_symbol
_atom_site_fract_x
_atom_site_fract_y
_atom_site_fract_z
Sc1 Sc 0.0000 0.0000 0.0000
Ti1 Ti 0.5000 0.5000 0.5000
B1 B 0.0000 0.5000 0.5000
```

***

EuGaAu2 | PBE-GGA | optimized geometry

Energy of formation from the pure elements in eV/f.u.: -1.849
Magnetic moment in μB/f.u.: 7.02

```
data_EuGaAu2
_chemical_formula_sum 'Eu1 Ga1 Au2'
_cell_length_a 4.6976
_cell_length_b 4.6976
_cell_length_c 4.0622
_cell_angle_alpha 90.00
_cell_angle_beta 90.00
_cell_angle_gamma 90.00
_symmetry_space_group_name_H-M 'P 4/m m m'
_symmetry_Int_Tables_number 123
_symmetry_space_group_name_Hall '-P 4 2'
loop_
_atom_site_label
_atom_site_type_symbol
_atom_site_fract_x
_atom_site_fract_y
_atom_site_fract_z
Eu1 Eu 0.0000 0.0000 0.0000
Ga1 Ga 0.5000 0.5000 0.0000
Au1 Au 0.0000 0.5000 0.5000
```

***

UNbRh4 | PBE-GGA | optimized geometry

Energy of formation from the pure elements in eV/f.u.: -1.853
Magnetic moment in μB/f.u.: 1.10

```
data_UNbRh4
_chemical_formula_sum 'U4 Nb4 Rh16'
_cell_length_a 7.5509
_cell_length_b 2.9709
_cell_length_c 17.7427
_cell_angle_alpha 90.00
_cell_angle_beta 90.00
_cell_angle_gamma 90.00
_symmetry_space_group_name_H-M 'P n m a'
_symmetry_Int_Tables_number 62
_symmetry_space_group_name_Hall '-P 2ac 2n'
loop_
_atom_site_label
_atom_site_type_symbol
_atom_site_fract_x
_atom_site_fract_y
_atom_site_fract_z
U1 U 0.2420 0.2500 0.1837
Nb1 Nb 0.2437 0.2500 0.9394
Rh1 Rh 0.0426 0.7500 0.5637
Rh2 Rh 0.0607 0.7500 0.3033
Rh3 Rh 0.1042 0.7500 0.8248
Rh4 Rh 0.1130 0.7500 0.0566
```

***

AlOsI2O | PBE-GGA | optimized geometry

Magnetic moment in μB/f.u.: 0.32
E above lowest polymorph in kJ per mole of atoms: 14.9

```
data_AlOsI2O
_chemical_formula_sum 'Al1 Os1 I2 O1'
_cell_length_a 5.4508
_cell_length_b 5.4508
_cell_length_c 3.3638
_cell_angle_alpha 90.00
_cell_angle_beta 90.00
_cell_angle_gamma 90.00
_symmetry_space_group_name_H-M 'P 4/m m m'
_symmetry_Int_Tables_number 123
_symmetry_space_group_name_Hall '-P 4 2'
loop_
_atom_site_label
_atom_site_type_symbol
_atom_site_fract_x
_atom_site_fract_y
_atom_site_fract_z
Al1 Al 0.0000 0.0000 0.0000
Os1 Os 0.5000 0.5000 0.5000
I1 I 0.0000 0.5000 0.0000
O1 O 0.0000 0.0000 0.5000
```

***

Rb2MnBeBr6 | PBE-GGA | optimized geometry

E_tot in eV per cell: -71.7
Magnetic moment in μB/f.u.: 5.00

```
data_Rb2MnBeBr6
_chemical_formula_sum 'Rb4 Mn2 Be2 Br12'
_cell_length_a 7.3231
_cell_length_b 7.3231
_cell_length_c 11.0954
_cell_angle_alpha 90.00
_cell_angle_beta 90.00
_cell_angle_gamma 90.00
_symmetry_space_group_name_H-M 'I 4/m m m'
_symmetry_Int_Tables_number 139
_symmetry_space_group_name_Hall '-I 4 2'
loop_
_atom_site_label
_atom_site_type_symbol
_atom_site_fract_x
_atom_site_fract_y
_atom_site_fract_z
Rb1 Rb 0.0000 0.5000 0.2500
Mn1 Mn 0.0000 0.0000 0.0000
Be1 Be 0.0000 0.0000 0.5000
Br1 Br 0.0000 0.0000 0.2277
Br2 Br 0.2281 0.2281 0.5000
```

***

LaRe2Mo | PBE-GGA | optimized geometry

Energy of formation from the pure elements in eV/f.u.: 1.629
Magnetic moment in μB/f.u.: 0.00
E above lowest polymorph in kJ per mole of atoms: 4.1

```
data_LaRe2Mo
_chemical_formula_sum 'La1 Re2 Mo1'
_cell_length_a 3.1523
_cell_length_b 3.1523
_cell_length_c 7.7322
_cell_angle_alpha 90.00
_cell_angle_beta 90.00
_cell_angle_gamma 90.00
_symmetry_space_group_name_H-M 'P 4 m m'
_symmetry_Int_Tables_number 99
_symmetry_space_group_name_Hall 'P 4 -2'
loop_
_atom_site_label
_atom_site_type_symbol
_atom_site_fract_x
_atom_site_fract_y
_atom_site_fract_z
La1 La 0.0000 0.0000 0.0000
Re1 Re 0.0000 0.0000 0.5087
Re2 Re 0.5000 0.5000 0.6953
Mo1 Mo 0.5000 0.5000 0.3139
```

***

ZrAlRe2 | PBE-GGA | optimized geometry

Energy of formation from the pure elements in eV/f.u.: 0.561
Magnetic moment in μB/f.u.: 0.00

```
data_ZrAlRe2
_chemical_formula_sum 'Zr1 Al1 Re2'
_cell_length_a 2.8157
_cell_length_b 2.8157
_cell_length_c 8.2694
_cell_angle_alpha 90.00
_cell_angle_beta 90.00
_cell_angle_gamma 90.00
_symmetry_space_group_name_H-M 'P 4/m m m'
_symmetry_Int_Tables_number 123
_symmetry_space_group_name_Hall '-P 4 2'
loop_
_atom_site_label
_atom_site_type_symbol
_atom_site_fract_x
_atom_site_fract_y
_atom_site_fract_z
Zr1 Zr 0.0000 0.0000 0.0000
Al1 Al 0.0000 0.0000 0.5000
Re1 Re 0.5000 0.5000 0.2767
```

***

LiAlSn2 | PBE-GGA | optimized geometry

Energy of formation from the pure elements in eV/f.u.: 0.260
Magnetic moment in μB/f.u.: 0.00

```
data_LiAlSn2
_chemical_formula_sum 'Li4 Al4 Sn8'
_cell_length_a 7.9397
_cell_length_b 7.9397
_cell_length_c 6.1446
_cell_angle_alpha 90.00
_cell_angle_beta 90.00
_cell_angle_gamma 90.00
_symmetry_space_group_name_H-M 'I -4 2 d'
_symmetry_Int_Tables_number 122
_symmetry_space_group_name_Hall 'I -4 2bw'
loop_
_atom_site_label
_atom_site_type_symbol
_atom_site_fract_x
_atom_site_fract_y
_atom_site_fract_z
Li1 Li 0.0000 0.0000 0.0000
Al1 Al 0.0000 0.0000 0.5000
Sn1 Sn 0.2242 0.7500 0.6250
```